# 1
The following is a GGA-PBE calculation of LiNi6H12 after structural relaxation, from Alexandria.

For the density, the calculation gives 5.162 g/cm³. As for the raw total energy: -76.6 eV/cell.

Structure (extended XYZ):
```
19
Lattice="-2.112 4.240 -2.028 -1.689 -3.876 -2.944 -2.362 -0.635 4.534" Properties=species:S:1:pos:R:3 pbc="T T T"
H -3.840 0.984 -0.772
H -2.832 -1.334 -2.983
H -3.238 2.864 0.120
H -2.989 1.666 -2.645
H -3.174 -1.938 2.207
H -3.906 -0.314 0.975
H -3.727 -1.177 -1.017
H -2.257 0.042 -1.412
H -3.331 1.062 2.546
H -2.436 0.905 0.579
H -2.323 -1.256 0.335
H -2.925 -3.136 -0.558
Ni -3.899 -1.938 0.489
Ni -2.091 -1.642 -1.300
Ni -2.366 -0.321 1.749
Ni -2.264 1.666 -0.926
Ni -4.071 1.370 0.862
Ni -3.797 0.049 -2.186
Li 0.000 0.000 0.000
```



# 2
The following is a GGA-PBE calculation of SrRuSe2 after structural relaxation, from Alexandria.

For the density, the calculation gives 5.917 g/cm³. The value obtained for the energy above the lowest structure with this stoichiometry is 0.240 eV per atom. As for the raw total energy: -20.5 eV/cell. The value obtained for the energy relative to the elements, uncorrected is -646.3 meV/atom.

Structure (extended XYZ):
```
4
Lattice="-1.061 3.708 0.465 -4.567 -1.473 1.323 0.428 -0.517 5.109" Properties=species:S:1:pos:R:3 pbc="T T T"
Ru -3.634 0.361 5.057
Sr -1.565 1.356 1.840
Se -2.364 -1.123 3.566
Se -3.843 -1.862 6.083
```



# 3
The following is a GGA-PBE calculation of Ba2TcO5 after structural relaxation, from Alexandria.

For the density, the calculation gives 4.942 g/cm³. The value obtained for the energy above the lowest structure with this stoichiometry is 0.148 eV per atom. As for the raw total energy: -109.9 eV/cell. The value obtained for the energy relative to the elements, uncorrected is -1991.3 meV/atom.

Structure (extended XYZ):
```
16
Lattice="3.997 0.000 0.000 -1.999 6.684 0.000 0.000 0.000 11.384" Properties=species:S:1:pos:R:3 pbc="T T T"
O 1.999 3.293 9.958
O 0.000 4.608 8.538
O 1.999 6.001 9.895
O 0.000 3.391 1.426
O 1.999 2.077 2.846
O 0.000 0.684 1.489
O 1.999 6.001 7.181
O 0.000 0.684 4.203
O 0.000 3.391 4.266
O 1.999 3.293 7.118
Ba 1.999 4.819 4.875
Ba 1.999 4.819 0.818
Ba 0.000 1.865 6.510
Ba 0.000 1.865 10.567
Tc 0.000 1.972 2.846
Tc 1.999 4.713 8.538
```



What did the second record say?
The following is a GGA-PBE calculation of SrRuSe2 after structural relaxation, from Alexandria.

For the density, the calculation gives 5.917 g/cm³. The value obtained for the energy above the lowest structure with this stoichiometry is 0.240 eV per atom. As for the raw total energy: -20.5 eV/cell. The value obtained for the energy relative to the elements, uncorrected is -646.3 meV/atom.

Structure (extended XYZ):
```
4
Lattice="-1.061 3.708 0.465 -4.567 -1.473 1.323 0.428 -0.517 5.109" Properties=species:S:1:pos:R:3 pbc="T T T"
Ru -3.634 0.361 5.057
Sr -1.565 1.356 1.840
Se -2.364 -1.123 3.566
Se -3.843 -1.862 6.083
```